Record 1
CdGa2Pb, optimized geometry, DFT PBE; magnetization = 0.00 μB per formula unit; E_tot = -10.2 eV per cell; energy relative to the elements = 107 meV/atom; SG = No. 225; ρ = 8.0 g cm⁻³
1.0
0.000 3.626 3.626
3.626 0.000 3.626
3.626 3.626 0.000
Cd Ga Pb
1 2 1
Direct
0.000 0.000 0.000 Cd
0.250 0.250 0.250 Ga
0.750 0.750 0.750 Ga
0.500 0.500 0.500 Pb

***

Record 2
YCd3Cu8, optimized geometry, DFT PBE; magnetization = 0.00 μB per formula unit; E_tot = -43.2 eV per cell; energy relative to the elements = -104 meV/atom; SG = No. 160; ρ = 8.4 g cm⁻³
1.0
2.534 1.463 8.326
-2.534 1.463 8.326
0.000 -2.926 8.326
Y Cd Cu
1 3 8
Direct
0.000 0.000 0.000 Y
0.128 0.128 0.128 Cd
0.499 0.499 0.499 Cd
0.620 0.620 0.620 Cd
0.062 0.062 0.561 Cu
0.062 0.561 0.062 Cu
0.064 0.564 0.564 Cu
0.312 0.312 0.312 Cu
0.561 0.062 0.062 Cu
0.564 0.064 0.564 Cu
0.564 0.564 0.064 Cu
0.813 0.813 0.813 Cu

***

Question: Which of these has the highest E_tot?
Answer: CdGa2Pb